Entry 1:
VASP calculation (GGA-PBE) on a relaxed RbHgTeAu crystal.

Geometry as CIF:
```
data_RbHgTeAu
_cell_length_a 4.7299
_cell_length_b 4.7299
_cell_length_c 12.8027
_cell_angle_alpha 90.00
_cell_angle_beta 90.00
_cell_angle_gamma 90.00
_space_group_name_H-M_alt 'P 1'
_space_group_IT_number 1
loop_
_space_group_symop_operation_xyz
'x,y,z'
loop_
_atom_site_label
_atom_site_fract_x
_atom_site_fract_y
_atom_site_fract_z
Rb1 0.7500 0.7500 0.3014
Rb2 0.2500 0.2500 0.6986
Hg1 0.7500 0.2500 0.0000
Hg2 0.2500 0.7500 0.0000
Te1 0.7500 0.7500 0.8589
Te2 0.2500 0.2500 0.1411
Au1 0.2500 0.7500 0.5000
Au2 0.7500 0.2500 0.5000
```

Size of the total moment, μB per cell: 0.0
Volume, Å³ per atom: 35.80
Crystal system: tetragonal
Formation energy without anion corrections, eV/atom: -0.1356
Final energy, eV/atom: -2.058

Entry 2:
VASP calculation (GGA-PBE) on a relaxed Rb2TlHg3Au4 crystal.

Geometry as CIF:
```
data_Rb2TlHg3Au4
_cell_length_a 5.0810
_cell_length_b 5.0810
_cell_length_c 11.3473
_cell_angle_alpha 90.00
_cell_angle_beta 90.00
_cell_angle_gamma 90.00
_space_group_name_H-M_alt 'P 1'
_space_group_IT_number 1
loop_
_space_group_symop_operation_xyz
'x,y,z'
loop_
_atom_site_label
_atom_site_fract_x
_atom_site_fract_y
_atom_site_fract_z
Rb1 0.5000 0.0000 0.2346
Rb2 0.0000 0.5000 0.7654
Tl1 0.5000 0.5000 0.5000
Hg1 0.0000 0.0000 0.5000
Hg2 0.5000 0.0000 0.8786
Hg3 0.0000 0.5000 0.1214
Au1 0.5000 0.5000 0.0000
Au2 0.0000 0.0000 0.0000
Au3 0.5000 0.0000 0.6302
Au4 0.0000 0.5000 0.3698
```

Size of the total moment, μB per cell: 0.0
Volume, Å³ per atom: 29.30
Crystal system: tetragonal
Final energy, eV/atom: -2.002
Formation energy, eV per atom: -0.170

Entry 3:
VASP calculation (GGA-PBE) on a relaxed Rb2TlHg6Au crystal.

Geometry as CIF:
```
data_Rb2TlHg6Au
_cell_length_a 8.5678
_cell_length_b 7.7094
_cell_length_c 8.3135
_cell_angle_alpha 67.90
_cell_angle_beta 48.86
_cell_angle_gamma 88.73
_space_group_name_H-M_alt 'P 1'
_space_group_IT_number 1
loop_
_space_group_symop_operation_xyz
'x,y,z'
loop_
_atom_site_label
_atom_site_fract_x
_atom_site_fract_y
_atom_site_fract_z
Rb1 0.8179 0.4066 0.4072
Rb2 0.1821 0.5934 0.5928
Tl1 0.0000 0.0000 0.0000
Hg1 0.1658 0.1435 0.4819
Hg2 0.7320 0.7295 0.0206
Hg3 0.3686 0.8564 0.9731
Hg4 0.6314 0.1436 0.0269
Hg5 0.2680 0.2705 0.9794
Hg6 0.8342 0.8565 0.5181
Au1 0.5000 0.5000 0.0000
```

Size of the total moment, μB per cell: 0.0
Volume, Å³ per atom: 36.26
Crystal system: triclinic
Final energy, eV/atom: -1.072
Formation energy, eV per atom: -0.133

Entry 4:
VASP calculation (GGA-PBE) on a relaxed RbTlHgAu crystal.

Geometry as CIF:
```
data_RbTlHgAu
_cell_length_a 5.6350
_cell_length_b 5.6350
_cell_length_c 5.6350
_cell_angle_alpha 60.00
_cell_angle_beta 60.00
_cell_angle_gamma 60.00
_space_group_name_H-M_alt 'P 1'
_space_group_IT_number 1
loop_
_space_group_symop_operation_xyz
'x,y,z'
loop_
_atom_site_label
_atom_site_fract_x
_atom_site_fract_y
_atom_site_fract_z
Tl1 0.0000 0.0000 0.0000
Au1 0.2500 0.2500 0.2500
Hg1 0.7500 0.7500 0.7500
Rb1 0.5000 0.5000 0.5000
```

Size of the total moment, μB per cell: 0.0
Volume, Å³ per atom: 31.63
Crystal system: cubic
Final energy, eV/atom: -1.816
Formation energy, eV per atom: -0.088

Entry 5:
VASP calculation (GGA-PBE) on a relaxed Rb2Tl6HgAu crystal.

Geometry as CIF:
```
data_Rb2Tl6HgAu
_cell_length_a 8.7173
_cell_length_b 8.4665
_cell_length_c 10.1125
_cell_angle_alpha 90.00
_cell_angle_beta 90.00
_cell_angle_gamma 90.00
_space_group_name_H-M_alt 'P 1'
_space_group_IT_number 1
loop_
_space_group_symop_operation_xyz
'x,y,z'
loop_
_atom_site_label
_atom_site_fract_x
_atom_site_fract_y
_atom_site_fract_z
Rb1 0.5000 0.7915 0.2778
Rb2 0.0000 0.2085 0.7778
Rb3 0.5000 0.7915 0.7222
Rb4 0.0000 0.2085 0.2222
Tl1 0.5000 0.2986 0.2438
Tl2 0.5000 0.2986 0.7562
Tl3 0.0000 0.7014 0.2562
Tl4 0.0000 0.7014 0.7438
Tl5 0.3100 0.1366 0.5000
Tl6 0.6900 0.1366 0.5000
Tl7 0.1820 0.5152 0.5000
Tl8 0.8180 0.5152 0.5000
Tl9 0.6820 0.4848 0.0000
Tl10 0.3180 0.4848 0.0000
Tl11 0.1900 0.8634 0.0000
Tl12 0.8100 0.8634 0.0000
Hg1 0.0000 0.9277 0.5000
Hg2 0.5000 0.0723 0.0000
Au1 0.5000 0.4808 0.5000
Au2 0.0000 0.5192 0.0000
```

Size of the total moment, μB per cell: 0.0
Volume, Å³ per atom: 37.32
Crystal system: orthorhombic
Final energy, eV/atom: -2.006
Formation energy, eV per atom: -0.035

Entry 6:
VASP calculation (GGA-PBE) on a relaxed Rb2Tl4Hg3Au crystal.

Geometry as CIF:
```
data_Rb2Tl4Hg3Au
_cell_length_a 5.4046
_cell_length_b 5.4046
_cell_length_c 12.0037
_cell_angle_alpha 90.00
_cell_angle_beta 90.00
_cell_angle_gamma 90.00
_space_group_name_H-M_alt 'P 1'
_space_group_IT_number 1
loop_
_space_group_symop_operation_xyz
'x,y,z'
loop_
_atom_site_label
_atom_site_fract_x
_atom_site_fract_y
_atom_site_fract_z
Rb1 0.5000 0.0000 0.2651
Rb2 0.0000 0.5000 0.7349
Tl1 0.5000 0.5000 0.0000
Tl2 0.0000 0.0000 0.0000
Tl3 0.5000 0.0000 0.6091
Tl4 0.0000 0.5000 0.3909
Hg1 0.0000 0.0000 0.5000
Hg2 0.5000 0.0000 0.8682
Hg3 0.0000 0.5000 0.1318
Au1 0.5000 0.5000 0.5000
```

Size of the total moment, μB per cell: 0.0
Volume, Å³ per atom: 35.06
Crystal system: tetragonal
Final energy, eV/atom: -1.689
Formation energy, eV per atom: -0.131

Entry 7:
VASP calculation (GGA-PBE) on a relaxed Rb2Tl4HgAu3 crystal.

Geometry as CIF:
```
data_Rb2Tl4HgAu3
_cell_length_a 5.4125
_cell_length_b 5.4125
_cell_length_c 10.8201
_cell_angle_alpha 90.00
_cell_angle_beta 90.00
_cell_angle_gamma 90.00
_space_group_name_H-M_alt 'P 1'
_space_group_IT_number 1
loop_
_space_group_symop_operation_xyz
'x,y,z'
loop_
_atom_site_label
_atom_site_fract_x
_atom_site_fract_y
_atom_site_fract_z
Rb1 0.5000 0.0000 0.2565
Rb2 0.0000 0.5000 0.7435
Tl1 0.5000 0.5000 0.0000
Tl2 0.0000 0.0000 0.0000
Tl3 0.5000 0.0000 0.6242
Tl4 0.0000 0.5000 0.3758
Hg1 0.5000 0.5000 0.5000
Au1 0.0000 0.0000 0.5000
Au2 0.5000 0.0000 0.8911
Au3 0.0000 0.5000 0.1089
```

Size of the total moment, μB per cell: 0.0
Volume, Å³ per atom: 31.70
Crystal system: tetragonal
Final energy, eV/atom: -2.314
Formation energy, eV per atom: -0.161

Entry 8:
VASP calculation (GGA-PBE) on a relaxed Rb2TlHg4Au2 crystal.

Geometry as CIF:
```
data_Rb2TlHg4Au2
_cell_length_a 6.4688
_cell_length_b 7.7557
_cell_length_c 6.9814
_cell_angle_alpha 124.61
_cell_angle_beta 81.23
_cell_angle_gamma 94.40
_space_group_name_H-M_alt 'P 1'
_space_group_IT_number 1
loop_
_space_group_symop_operation_xyz
'x,y,z'
loop_
_atom_site_label
_atom_site_fract_x
_atom_site_fract_y
_atom_site_fract_z
Rb1 0.3047 0.5692 0.3553
Rb2 0.6953 0.4308 0.6447
Tl1 0.0000 0.0000 0.0000
Hg1 0.8282 0.8423 0.3524
Hg2 0.5480 0.0602 0.8260
Hg3 0.1718 0.1577 0.6476
Hg4 0.4520 0.9398 0.1740
Au1 0.8487 0.3948 0.0935
Au2 0.1513 0.6052 0.9065
```

Size of the total moment, μB per cell: 0.0
Volume, Å³ per atom: 31.66
Crystal system: triclinic
Final energy, eV/atom: -1.518
Formation energy, eV per atom: -0.177

Entry 9:
VASP calculation (GGA-PBE) on a relaxed RbTl2HgAu2 crystal.

Geometry as CIF:
```
data_RbTl2HgAu2
_cell_length_a 5.4014
_cell_length_b 5.4014
_cell_length_c 6.7729
_cell_angle_alpha 90.00
_cell_angle_beta 90.00
_cell_angle_gamma 90.00
_space_group_name_H-M_alt 'P 1'
_space_group_IT_number 1
loop_
_space_group_symop_operation_xyz
'x,y,z'
loop_
_atom_site_label
_atom_site_fract_x
_atom_site_fract_y
_atom_site_fract_z
Rb1 0.0000 0.0000 0.5000
Tl1 0.5000 0.5000 0.7550
Tl2 0.5000 0.5000 0.2450
Hg1 0.0000 0.0000 0.0000
Au1 0.5000 0.0000 0.0000
Au2 0.0000 0.5000 0.0000
```

Size of the total moment, μB per cell: 0.0
Volume, Å³ per atom: 32.93
Crystal system: tetragonal
Final energy, eV/atom: -2.147
Formation energy, eV per atom: -0.055

Entry 10:
VASP calculation (GGA-PBE) on a relaxed RbTlHg2Au crystal.

Geometry as CIF:
```
data_RbTlHg2Au
_cell_length_a 5.5399
_cell_length_b 5.5399
_cell_length_c 5.6685
_cell_angle_alpha 90.00
_cell_angle_beta 90.00
_cell_angle_gamma 90.00
_space_group_name_H-M_alt 'P 1'
_space_group_IT_number 1
loop_
_space_group_symop_operation_xyz
'x,y,z'
loop_
_atom_site_label
_atom_site_fract_x
_atom_site_fract_y
_atom_site_fract_z
Tl1 0.0000 0.0000 0.5000
Au1 0.0000 0.0000 0.0000
Hg1 0.0000 0.5000 0.0000
Hg2 0.5000 0.0000 0.0000
Rb1 0.5000 0.5000 0.5000
```

Size of the total moment, μB per cell: 0.0
Energy relative to the lowest polymorph listed for this composition, meV/atom: 90.8
Volume, Å³ per atom: 34.79
Crystal system: tetragonal
Final energy, eV/atom: -1.530
Formation energy, eV per atom: -0.087

Entry 11:
VASP calculation (GGA-PBE) on a relaxed RbTlHg3Au crystal.

Geometry as CIF:
```
data_RbTlHg3Au
_cell_length_a 7.4577
_cell_length_b 8.6424
_cell_length_c 7.9802
_cell_angle_alpha 122.79
_cell_angle_beta 90.00
_cell_angle_gamma 90.00
_space_group_name_H-M_alt 'P 1'
_space_group_IT_number 1
loop_
_space_group_symop_operation_xyz
'x,y,z'
loop_
_atom_site_label
_atom_site_fract_x
_atom_site_fract_y
_atom_site_fract_z
Rb1 0.7500 0.2898 0.5796
Rb2 0.2500 0.7102 0.4204
Tl1 0.2500 0.4138 0.8276
Tl2 0.7500 0.5862 0.1724
Hg1 0.2500 0.1778 0.3557
Hg2 0.0000 0.2440 0.0000
Hg3 0.5000 0.7560 0.0000
Hg4 0.5000 0.2440 0.0000
Hg5 0.0000 0.7560 0.0000
Hg6 0.7500 0.8222 0.6443
Au1 0.2500 0.9641 0.9281
Au2 0.7500 0.0359 0.0719
```

Size of the total moment, μB per cell: 0.0
Volume, Å³ per atom: 36.03
Crystal system: orthorhombic
Final energy, eV/atom: -1.330
Formation energy, eV per atom: -0.077

Entry 12:
VASP calculation (GGA-PBE) on a relaxed RbTlHg2Au crystal.

Geometry as CIF:
```
data_RbTlHg2Au
_cell_length_a 4.9043
_cell_length_b 5.0076
_cell_length_c 7.3319
_cell_angle_alpha 109.97
_cell_angle_beta 109.54
_cell_angle_gamma 90.00
_space_group_name_H-M_alt 'P 1'
_space_group_IT_number 1
loop_
_space_group_symop_operation_xyz
'x,y,z'
loop_
_atom_site_label
_atom_site_fract_x
_atom_site_fract_y
_atom_site_fract_z
Rb1 0.4388 0.4388 0.8776
Tl1 0.1980 0.6980 0.3960
Hg1 0.7026 0.2026 0.4051
Hg2 0.0464 0.0464 0.0927
Au1 0.8264 0.8264 0.6529
```

Size of the total moment, μB per cell: 0.0
Energy relative to the lowest polymorph listed for this composition, meV/atom: 0.0
Volume, Å³ per atom: 31.63
Crystal system: orthorhombic
Final energy, eV/atom: -1.621
Formation energy, eV per atom: -0.178